Below is an optimized crystal structure of TaAg4As, with properties calculated at the PBE-GGA level.

```
TaAg4As
1.0
0.0000 3.8409 3.8409
3.8409 0.0000 3.8409
3.8409 3.8409 0.0000
Ta Ag As
1 4 1
direct
0.0000 0.0000 0.0000 Ta
0.8753 0.3749 0.3749 Ag
0.3749 0.3749 0.8753 Ag
0.3749 0.8753 0.3749 Ag
0.3749 0.3749 0.3749 Ag
0.7500 0.7500 0.7500 As
```

Summary:
- Formation energy: 0.61 eV per atom
- Total DFT energy (no corrections): -24.3 eV per cell